A plane-wave DFT calculation with PBEsol was carried out for In3Ag after structural relaxation.

Cell lengths 4.510, 4.510, 5.435 Å; angles 114.51, 114.51, 90.00 degrees
Positions (direct):
Ag: 0.000 0.000 0.000
In: 0.750 0.250 0.500
In: 0.500 0.500 0.000
In: 0.250 0.750 0.500

Values from the calculation:
As for the density: 8.39 Mg/m³. The space group is I4/mmm, No. 139. As for the uncorrected energy: -3.018 eV/atom. The formation energy is 47 meV/atom. The value obtained for the density of states at the Fermi level is 1.6 states/eV per cell. As for the total moment: 0.00 μB per cell.